This record from Alexandria via LeMat-Bulk describes a relaxed structure of LiDyTmRe. The functional is PBE.

## Properties
Calculated formation energy   45 meV per atom
Total energy   -5.814 eV per atom

abc: 4.892 4.892 4.892
angles: 60.00 60.00 60.00
Sites, in units of the cell vectors:
Li (0.000, 0.000, 0.000)
Dy (0.250, 0.250, 0.250)
Tm (0.750, 0.750, 0.750)
Re (0.500, 0.500, 0.500)

=====

This record from Alexandria via LeMat-Bulk describes a relaxed structure of LiDyZrRe. The functional is PBE.

## Properties
Calculated formation energy   -29 meV per atom
Total energy   -6.907 eV per atom

abc: 4.794 4.794 4.794
angles: 60.00 60.00 60.00
Sites, in units of the cell vectors:
Li (0.000, 0.000, 0.000)
Dy (0.250, 0.250, 0.250)
Zr (0.750, 0.750, 0.750)
Re (0.500, 0.500, 0.500)

=====

This record from Alexandria via LeMat-Bulk describes a relaxed structure of LiDy4Rh. The functional is PBE.

## Properties
Calculated formation energy   -13 meV per atom
Total energy   -4.625 eV per atom

abc: 7.952 7.952 7.952
angles: 101.98 101.98 125.80
Sites, in units of the cell vectors:
Li (0.000, 0.000, 0.000)
Li (0.750, 0.250, 0.500)
Dy (0.057, 0.818, 0.239)
Dy (0.079, 0.388, 0.309)
Dy (0.079, 0.770, 0.691)
Dy (0.138, 0.329, 0.809)
Dy (0.520, 0.329, 0.191)
Dy (0.568, 0.307, 0.739)
Dy (0.568, 0.828, 0.261)
Dy (0.578, 0.818, 0.761)
Rh (0.359, 0.859, 0.500)
Rh (0.609, 0.609, 0.000)

=====

This record from Alexandria via LeMat-Bulk describes a relaxed structure of LiDy3Rh2. The functional is PBE.

## Properties
Calculated formation energy   -630 meV per atom
Total energy   -5.700 eV per atom

abc: 4.886 4.886 12.117
angles: 90.00 90.00 120.00
Sites, in units of the cell vectors:
Li (0.333, 0.667, 0.170)
Li (0.667, 0.333, 0.830)
Dy (0.000, 0.000, 0.259)
Dy (0.000, 0.000, 0.741)
Dy (0.333, 0.667, 0.423)
Dy (0.333, 0.667, 0.917)
Dy (0.667, 0.333, 0.083)
Dy (0.667, 0.333, 0.577)
Rh (0.000, 0.000, 0.000)
Rh (0.000, 0.000, 0.500)
Rh (0.333, 0.667, 0.672)
Rh (0.667, 0.333, 0.328)

=====

This record from Alexandria via LeMat-Bulk describes a relaxed structure of LiDy4Rh3. The functional is PBE.

## Properties
Calculated formation energy   -658 meV per atom
Total energy   -5.955 eV per atom

abc: 3.521 4.864 9.676
angles: 90.00 90.00 90.00
Sites, in units of the cell vectors:
Li (0.000, 0.000, 0.000)
Dy (0.500, 0.000, 0.260)
Dy (0.500, 0.000, 0.740)
Dy (0.500, 0.500, 0.000)
Dy (0.500, 0.500, 0.500)
Rh (0.000, 0.000, 0.500)
Rh (0.000, 0.500, 0.247)
Rh (0.000, 0.500, 0.753)

=====

This record from Alexandria via LeMat-Bulk describes a relaxed structure of LiDyRh2. The functional is PBE.

## Properties
Calculated formation energy   -485 meV per atom
Total energy   -5.790 eV per atom

abc: 4.186 4.186 3.780
angles: 90.00 90.00 90.00
Sites, in units of the cell vectors:
Li (0.000, 0.000, 0.000)
Dy (0.500, 0.500, 0.000)
Rh (0.000, 0.500, 0.500)
Rh (0.500, 0.000, 0.500)